# 1
Entry from the Alexandria database: a geometry-optimized CaCeCuHg structure (PBE).

```
16
Lattice="7.3885 0.0000 0.0000 0.0000 7.3885 0.0000 0.0000 0.0000 7.3885" Properties=species:S:1:pos:R:3 pbc="T T T"
Ca 0.0000 0.0000 0.0000
Ca 0.0000 3.6942 3.6942
Ca 3.6942 0.0000 3.6942
Ca 3.6942 3.6942 0.0000
Ce 0.0000 0.0000 3.6942
Ce 0.0000 3.6942 0.0000
Ce 3.6942 0.0000 0.0000
Ce 3.6942 3.6942 3.6942
Cu 1.8471 1.8471 5.5413
Cu 1.8471 5.5413 1.8471
Cu 5.5413 1.8471 1.8471
Cu 5.5413 5.5413 5.5413
Hg 1.8471 1.8471 1.8471
Hg 1.8471 5.5413 5.5413
Hg 5.5413 1.8471 5.5413
Hg 5.5413 5.5413 1.8471
```

Properties
VASP energy (eV per atom): -3.287
Symmetry: No. 216
Volume (Å³/atom): 25.21
D(E_F) (states/eV/cell): 33.51

# 2
Entry from the Alexandria database: a geometry-optimized CaCeInCu structure (PBE).

```
16
Lattice="7.4534 0.0000 0.0000 0.0000 7.4534 0.0000 0.0000 0.0000 7.4534" Properties=species:S:1:pos:R:3 pbc="T T T"
Ca 0.0000 0.0000 0.0000
Ca 0.0000 3.7267 3.7267
Ca 3.7267 0.0000 3.7267
Ca 3.7267 3.7267 0.0000
Ce 0.0000 0.0000 3.7267
Ce 0.0000 3.7267 0.0000
Ce 3.7267 0.0000 0.0000
Ce 3.7267 3.7267 3.7267
In 1.8633 1.8633 1.8633
In 1.8633 5.5900 5.5900
In 5.5900 1.8633 5.5900
In 5.5900 5.5900 1.8633
Cu 1.8633 1.8633 5.5900
Cu 1.8633 5.5900 1.8633
Cu 5.5900 1.8633 1.8633
Cu 5.5900 5.5900 5.5900
```

Properties
VASP energy (eV per atom): -3.876
Symmetry: No. 216
Volume (Å³/atom): 25.88
D(E_F) (states/eV/cell): 30.24

# 3
Entry from the Alexandria database: a geometry-optimized CaCeCuIr structure (PBE).

```
16
Lattice="6.9619 0.0000 0.0000 0.0000 6.9619 0.0000 0.0000 0.0000 6.9619" Properties=species:S:1:pos:R:3 pbc="T T T"
Ca 0.0000 0.0000 0.0000
Ca 0.0000 3.4810 3.4810
Ca 3.4810 0.0000 3.4810
Ca 3.4810 3.4810 0.0000
Ce 0.0000 0.0000 3.4810
Ce 0.0000 3.4810 0.0000
Ce 3.4810 0.0000 0.0000
Ce 3.4810 3.4810 3.4810
Cu 1.7405 1.7405 1.7405
Cu 1.7405 5.2214 5.2214
Cu 5.2214 1.7405 5.2214
Cu 5.2214 5.2214 1.7405
Ir 1.7405 1.7405 5.2214
Ir 1.7405 5.2214 1.7405
Ir 5.2214 1.7405 1.7405
Ir 5.2214 5.2214 5.2214
```

Properties
VASP energy (eV per atom): -5.535
Symmetry: No. 216
Volume (Å³/atom): 21.09
D(E_F) (states/eV/cell): 26.96